Compound: GdNi2Ag
Source: the Alexandria database
Functional: PBE
Structure: relaxed

Lattice parameters (Å, degrees): 4.232 4.232 3.705 90.00 90.00 90.00
Atoms (fractional coordinates):
Gd (0.000, 0.000, 0.000)
Ni (0.000, 0.500, 0.500)
Ni (0.500, 0.000, 0.500)
Ag (0.500, 0.500, 0.000)

Results
Total energy ... -29.03 eV/cell
Energy of formation ... -0.1346 eV/atom
Symmetry ... P4/mmm
DOS at the Fermi energy ... 0.378 states/eV/atom
M_tot ... 7.02 μB/cell